[1]
U2TeO2 | PBE-GGA | relaxed

a b c (Å): 6.784 6.784 6.784
angles (deg): 146.24 146.24 48.50
Positions (direct):
U1 0.651 0.651 0.000
U2 0.349 0.349 0.000
Te1 0.000 0.000 0.000
O1 0.250 0.750 0.500
O2 0.750 0.250 0.500

Calculated total energy: -46.76 eV per cell
ΔE_f (raw): -2.23 eV per atom
DOS at the Fermi energy: 9.50 states/eV per cell

=====

[2]
U2TeO2 | PBE-GGA | relaxed

a b c (Å): 6.264 6.264 6.467
angles (deg): 108.83 108.83 109.48
Positions (direct):
U1 0.184 0.816 0.000
U2 0.816 0.184 0.000
U3 0.066 0.934 0.500
U4 0.434 0.566 0.500
Te1 0.500 0.500 0.000
Te2 0.750 0.250 0.500
O1 0.870 0.870 0.741
O2 0.130 0.130 0.259
O3 0.120 0.620 0.241
O4 0.380 0.880 0.759

Calculated total energy: -92.56 eV per cell
ΔE_f (raw): -2.13 eV per atom
DOS at the Fermi energy: 21.16 states/eV per cell

=====

[3]
UTeO | PBE-GGA | relaxed

a b c (Å): 3.888 3.888 8.715
angles (deg): 90.00 90.00 90.00
Positions (direct):
Te1 0.500 0.000 0.663
Te2 0.000 0.500 0.337
U1 0.500 0.000 0.145
U2 0.000 0.500 0.855
O1 0.500 0.500 0.000
O2 0.000 0.000 0.000

Calculated total energy: -50.96 eV per cell
ΔE_f (raw): -2.03 eV per atom
DOS at the Fermi energy: 12.86 states/eV per cell

=====

[4]
UTeO5 | PBE-GGA | relaxed

a b c (Å): 5.862 5.911 8.424
angles (deg): 112.91 98.65 104.55
Positions (direct):
U1 0.999 0.001 0.999
U2 0.999 0.501 0.499
Te1 0.507 0.286 0.732
Te2 0.491 0.717 0.267
O1 0.922 0.202 0.268
O2 0.076 0.800 0.730
O3 0.731 0.625 0.390
O4 0.199 0.871 0.105
O5 0.310 0.371 0.089
O6 0.291 0.734 0.428
O7 0.688 0.632 0.909
O8 0.707 0.268 0.571
O9 0.799 0.131 0.894
O10 0.267 0.377 0.609

Calculated total energy: -109.36 eV per cell
ΔE_f (raw): -2.21 eV per atom
DOS at the Fermi energy: 0.00 states/eV per cell

=====

[5]
UTeO | PBE-GGA | relaxed

a b c (Å): 4.714 3.888 3.888
angles (deg): 120.00 90.00 90.00
Positions (direct):
Te1 0.667 0.333 0.667
U1 0.167 0.667 0.333
O1 0.167 0.000 0.000

Calculated total energy: -25.23 eV per cell
ΔE_f (raw): -1.95 eV per atom
DOS at the Fermi energy: 4.37 states/eV per cell

=====

[6]
UTeO5 | PBE-GGA | relaxed

a b c (Å): 5.535 7.844 10.417
angles (deg): 90.00 90.00 90.00
Positions (direct):
U1 0.968 0.750 0.484
U2 0.968 0.250 0.016
U3 0.032 0.250 0.516
U4 0.032 0.750 0.984
Te1 0.359 0.000 0.750
Te2 0.641 0.500 0.250
Te3 0.641 0.000 0.250
Te4 0.359 0.500 0.750
O1 0.697 0.750 0.585
O2 0.697 0.250 0.915
O3 0.303 0.250 0.415
O4 0.303 0.750 0.085
O5 0.237 0.750 0.386
O6 0.237 0.250 0.114
O7 0.763 0.250 0.614
O8 0.763 0.750 0.886
O9 0.267 0.750 0.792
O10 0.267 0.250 0.708
O11 0.733 0.250 0.208
O12 0.733 0.750 0.292
O13 0.144 0.473 0.895
O14 0.144 0.527 0.605
O15 0.856 0.973 0.105
O16 0.856 0.027 0.395
O17 0.856 0.527 0.105
O18 0.856 0.473 0.395
O19 0.144 0.027 0.895
O20 0.144 0.973 0.605

Calculated total energy: -218.46 eV per cell
ΔE_f (raw): -2.20 eV per atom
DOS at the Fermi energy: 0.00 states/eV per cell

=====

[7]
UZn2TeO8 | PBE-GGA | relaxed

a b c (Å): 5.803 5.803 5.803
angles (deg): 111.84 111.84 104.83
Positions (direct):
U1 0.000 0.000 0.000
Zn1 0.750 0.250 0.500
Zn2 0.500 0.500 0.000
Te1 0.250 0.750 0.500
O1 0.346 0.034 0.312
O2 0.297 0.499 0.202
O3 0.297 0.095 0.798
O4 0.723 0.034 0.688
O5 0.905 0.703 0.202
O6 0.966 0.277 0.312
O7 0.966 0.654 0.688
O8 0.501 0.703 0.798

Calculated total energy: -76.23 eV per cell
ΔE_f (raw): -1.63 eV per atom
DOS at the Fermi energy: 0.47 states/eV per cell

=====

[8]
ZrUTe2O | PBE-GGA | relaxed

a b c (Å): 3.909 3.909 14.870
angles (deg): 90.00 90.00 90.00
Positions (direct):
Zr1 0.500 0.000 0.068
Zr2 0.000 0.500 0.932
U1 0.500 0.000 0.584
U2 0.000 0.500 0.416
Te1 0.000 0.500 0.699
Te2 0.000 0.500 0.135
Te3 0.500 0.000 0.865
Te4 0.500 0.000 0.301
O1 0.000 0.000 0.500
O2 0.500 0.500 0.500

Calculated total energy: -77.94 eV per cell
ΔE_f (raw): -1.58 eV per atom
DOS at the Fermi energy: 16.06 states/eV per cell